# 1
CaGdRhSe | PBE-GGA | optimized geometry

Cell and atoms, written as POSCAR:
```
CaGdRhSe
1.0
-2.5082 -2.1321 3.7593
0.9056 -4.7588 1.2262
2.3479 -1.0744 4.2782
Ca Gd Rh Se
1 1 1 1
Cartesian
0.3727 -3.9826 4.6319
0.0000 0.0000 0.0000
0.1863 -1.9913 2.3159
0.5590 -5.9740 6.9478
```

Calculated values
The value obtained for the formation energy from raw total energies is -915 meV per atom. Its symmetry is F-43m (216). The energy comes out at -30.58 eV per cell.

# 2
Sm3YAs4 | PBE-GGA | optimized geometry

Cell and atoms, written as POSCAR:
```
Sm3YAs4
1.0
-0.9694 2.4169 -3.2889
-6.5259 -3.1566 -0.3961
-0.3733 5.7895 4.3646
Sm Y As
3 1 4
Cartesian
-0.1867 2.8948 2.1823
-3.9343 2.5249 0.3398
-3.2629 -1.5783 -0.1981
-0.4847 1.2085 -1.6445
-1.7014 0.6493 0.9787
-5.4834 0.2725 -0.8589
-5.1978 1.9836 2.9898
-2.3852 4.7774 1.5385
```

Calculated values
The energy of formation is -1534 meV/atom. Its symmetry is Cmmm (65). The energy comes out at -51.49 eV per cell.

# 3
Mo2SeCl | PBE-GGA | optimized geometry

Cell and atoms, written as POSCAR:
```
Mo2SeCl
1.0
8.2630 -0.0037 -0.0022
7.7077 2.9779 -0.0022
7.7077 1.4354 2.6091
Cl Mo Se
1 2 1
Cartesian
17.7589 3.3073 1.9536
23.6091 4.3968 2.5972
11.9086 2.2178 1.3100
5.9196 1.1024 0.6512
```

Calculated values
The value obtained for the formation energy from raw total energies is 312 meV per atom. Its symmetry is R-3m (166). Its energy above the most stable polymorph in this dataset is 505 meV/atom. The energy comes out at -25.75 eV per cell.

# 4
NbZnHRu | PBE-GGA | optimized geometry

Cell and atoms, written as POSCAR:
```
NbZnHRu
1.0
2.8952 0.0000 0.0000
0.0000 4.0055 0.0000
-1.4476 -2.0028 4.1900
Nb Zn H Ru
1 1 1 1
Cartesian
1.4476 2.0028 3.6077
0.0000 0.0000 2.1914
0.0000 2.0028 1.9948
1.4476 2.0028 0.7950
```

Calculated values
Its symmetry is Imm2 (44). The energy comes out at -24.19 eV per cell.

# 5
RuCl3 | PBE-GGA | optimized geometry

Cell and atoms, written as POSCAR:
```
RuCl3
1.0
3.0759 0.0000 0.0000
0.0000 3.0759 0.0000
0.0000 0.0000 9.6956
Ru Cl
1 3
Cartesian
0.0000 0.0000 0.0000
1.5380 1.5380 8.1224
0.0000 0.0000 4.8478
1.5380 1.5380 1.5732
```

Calculated values
The value obtained for the formation energy from raw total energies is 364 meV per atom. Its symmetry is P4/mmm (123). The energy comes out at -13.36 eV per cell.

# 6
AgCl2 | PBE-GGA | optimized geometry

Cell and atoms, written as POSCAR:
```
AgCl2
1.0
2.7918 2.6797 2.0967
-3.0454 -2.2201 2.2732
5.4736 -6.4848 0.9997
Ag Cl
2 4
Cartesian
2.2145 -0.5748 2.4054
3.0055 -5.4504 2.9641
0.0000 0.0000 0.0000
2.7368 -3.2424 0.4999
0.2687 -2.2080 2.4643
4.9513 -3.8171 2.9053
```

Calculated values
The value obtained for the formation energy from raw total energies is 16 meV per atom. Its symmetry is P6_3/mmc (194). The energy comes out at -13.00 eV per cell.

# 7
Tm6P5Br | PBE-GGA | optimized geometry

Cell and atoms, written as POSCAR:
```
Tm6P5Br
1.0
6.7560 -0.1004 -1.2732
-3.6462 5.6885 -1.2732
0.1303 0.2341 6.8561
P Tm Br
5 6 1
Cartesian
5.1587 0.9418 2.1548
3.2989 1.8235 -1.2732
1.6200 2.9111 2.1548
-0.1891 3.7646 -1.2732
-1.9186 4.8804 2.1548
2.7063 0.5161 1.1210
4.2279 3.2503 3.1887
0.9277 1.6671 4.3921
2.3123 4.1551 -0.0825
-0.9878 2.5719 1.1210
0.5337 5.3061 3.1887
0.0000 0.0000 0.0000
```

Calculated values
The value obtained for the formation energy from raw total energies is -1579 meV per atom. Its symmetry is C2/m (12). The energy comes out at -74.50 eV per cell.

# 8
Ac3As4Au4 | PBE-GGA | optimized geometry

Cell and atoms, written as POSCAR:
```
Ac3As4Au4
1.0
4.3699 -0.0008 0.0031
-0.0004 4.5949 -0.1841
2.1733 1.6751 13.7337
Ac As Au
3 4 4
Cartesian
2.1795 4.2522 9.4810
4.3635 2.0172 4.0717
-0.0003 4.5949 -0.1839
4.3575 4.3869 12.1068
2.1855 1.8825 1.4459
2.1853 4.4530 5.1410
4.3577 1.8165 8.4116
4.3674 2.0642 11.0170
2.1756 2.1457 6.7056
4.3674 4.1238 6.8469
2.1756 4.2052 2.5358
```

Calculated values
The energy of formation is -798 meV/atom. Its symmetry is P-1 (2). The energy comes out at -52.81 eV per cell.

# 9
Th4GaSb | PBE-GGA | optimized geometry

Cell and atoms, written as POSCAR:
```
Th4GaSb
1.0
-0.9747 2.5754 -5.6119
-7.3802 -1.3951 0.6416
-0.9881 6.7255 3.2581
Th Ga Sb
8 2 2
Cartesian
-1.8733 4.1511 2.2304
-6.4949 1.1793 1.6693
-2.7346 0.6345 0.7661
-5.6337 4.6960 3.1336
-7.2822 4.5085 -0.1477
-2.0608 3.3974 -1.5645
-5.4621 1.4987 -1.8451
-3.8809 6.4072 0.1329
-4.4278 3.3091 0.5469
-4.9151 4.5968 -2.2591
-0.2437 0.6439 -1.4030
-0.7310 1.9316 -4.2089
```

Calculated values
The value obtained for the formation energy from raw total energies is -482 meV per atom. Its symmetry is P4/mcc (124). Its energy above the most stable polymorph in this dataset is 0 meV/atom. The energy comes out at -79.44 eV per cell.

# 10
YTeCl | PBE-GGA | optimized geometry

Cell and atoms, written as POSCAR:
```
YTeCl
1.0
-0.2640 -4.8191 5.7211
2.5323 -6.8115 1.7934
1.0272 6.8815 -2.7594
Cl Te Y
1 1 1
Cartesian
0.1038 -0.5323 0.3439
0.6518 -3.3421 2.1594
1.5127 -7.7561 5.0113
```

Calculated values
The value obtained for the formation energy from raw total energies is -1426 meV per atom. Its symmetry is I4mm (107). The energy comes out at -15.73 eV per cell.

# 11
CaAc2Cd8 | PBE-GGA | optimized geometry

Cell and atoms, written as POSCAR:
```
CaAc2Cd8
1.0
5.2941 -0.0003 -1.4399
-0.7913 6.0815 -2.8809
-0.2891 0.5656 9.4353
Ca Ac Cd
1 2 8
Cartesian
2.6470 -0.0002 -0.7199
2.9815 4.6235 0.5376
1.2322 2.0232 4.5769
0.3120 2.3550 1.1640
4.4025 0.9994 5.7861
3.2825 3.6032 6.9171
3.3753 1.6140 2.0043
0.8383 5.0328 3.1103
0.9311 3.0436 -1.8025
-0.1889 5.6474 -0.6715
3.9016 4.2918 3.9505
```

Calculated values
The energy of formation is -254 meV/atom. Its symmetry is P-1 (2). The energy comes out at -20.33 eV per cell.

# 12
Rb4PrEr3Se8 | PBE-GGA | optimized geometry

Cell and atoms, written as POSCAR:
```
Rb4PrEr3Se8
1.0
-2.3578 -7.8210 -2.4296
-1.5952 -2.3043 8.9656
-4.1097 6.8235 -3.0301
Rb Pr Er Se
4 1 3 8
Cartesian
-1.1789 -3.9105 -1.2148
-3.2337 -0.4987 -2.7299
0.0000 0.0000 0.0000
-2.0548 3.4118 -1.5150
-0.7976 -1.1521 4.4828
-1.9765 -5.0626 3.2680
-4.0313 -1.6509 1.7529
-2.8524 2.2596 2.9678
-5.6149 3.0831 2.7637
-3.6241 -0.2220 4.2314
-3.3353 0.8595 0.4698
-6.7569 -0.7050 1.5869
-1.3058 -2.5968 1.9189
-4.7274 -4.1613 3.0360
-4.4385 -3.0798 -0.7255
-2.4477 -6.3849 0.7421
```

Calculated values
The value obtained for the formation energy from raw total energies is -1726 meV per atom. Its symmetry is R-3m (166). The energy comes out at -77.82 eV per cell.

# 13
Tb4Tm3Sc5 | PBE-GGA | optimized geometry

Cell and atoms, written as POSCAR:
```
Tb4Tm3Sc5
1.0
-4.7070 -2.5494 -1.8147
-0.2732 -7.7135 2.7423
-7.0662 3.8029 4.1831
Tb Tm Sc
4 3 5
Cartesian
-4.4853 -3.7491 -0.7042
-5.1821 1.6126 2.3730
-6.8643 -8.0726 2.7376
-7.5611 -2.7109 5.8149
-4.3877 -5.8174 1.9482
-3.6697 -1.9553 3.4627
-7.6587 -0.6426 3.1625
-8.9032 -5.6926 4.6823
-6.0232 -3.2300 2.5553
-2.0223 -3.6198 1.5281
-10.0241 -2.8402 3.5825
-3.1432 -0.7674 0.4284
```

Calculated values
The energy of formation is 242 meV/atom. Its symmetry is C2/m (12). The energy comes out at -60.68 eV per cell.

# 14
ErSc2Au6 | PBE-GGA | optimized geometry

Cell and atoms, written as POSCAR:
```
ErSc2Au6
1.0
5.0969 0.0723 0.8005
2.2626 4.2607 1.6748
0.0151 -0.1515 8.1502
Er Sc Au
1 2 6
Cartesian
0.0075 -0.0757 4.0751
4.4485 3.4646 8.5746
2.9260 0.7169 2.0509
2.7560 3.5356 2.8581
5.3712 2.1848 2.8357
4.6185 0.6459 7.7674
2.0033 1.9967 7.7898
2.4268 1.3384 4.8856
4.9477 2.8431 5.7399
```

Calculated values
The energy of formation is -756 meV/atom. Its symmetry is C2/m (12). The energy comes out at -43.70 eV per cell.

# 15
CeSi2MoRu | PBE-GGA | optimized geometry

Cell and atoms, written as POSCAR:
```
CeSi2MoRu
1.0
4.1816 0.0000 0.0000
0.0000 4.1816 0.0000
-2.0908 -2.0908 5.0889
Ce Si Mo Ru
1 2 1 1
Cartesian
0.0000 0.0000 0.0000
2.0908 2.0908 1.2434
0.0000 0.0000 3.8455
2.0908 0.0000 2.5445
0.0000 2.0908 2.5445
```

Calculated values
The value obtained for the formation energy from raw total energies is -580 meV per atom. Its symmetry is I-4m2 (119). The energy comes out at -39.78 eV per cell.

# 16
AcLa2Ga6 | PBE-GGA | optimized geometry

Cell and atoms, written as POSCAR:
```
AcLa2Ga6
1.0
-2.7828 2.6280 2.4789
-5.2134 -5.4280 -0.0983
5.1130 0.2077 5.5196
Ac La Ga
1 2 6
Cartesian
5.1130 0.2077 5.5196
1.6709 -1.6708 3.6470
-1.7713 -3.5494 1.7744
-1.4251 -0.4381 3.0590
-1.4581 -2.1542 4.8413
2.0055 1.4520 4.9066
0.2580 -2.0845 6.6938
-3.1412 -0.5078 1.2065
0.3246 1.3837 3.0920
```

Calculated values
The energy of formation is -676 meV/atom. Its symmetry is P6/mmm (191). Its energy above the most stable polymorph in this dataset is 0 meV/atom. The energy comes out at -38.21 eV per cell.

# 17
CrS2BrN | PBE-GGA | optimized geometry

Cell and atoms, written as POSCAR:
```
CrS2BrN
1.0
4.9980 0.0000 0.0000
0.0000 4.9980 0.0000
0.0000 0.0000 3.6622
Cr S Br N
1 2 1 1
Cartesian
2.4990 2.4990 1.8311
0.0000 2.4990 0.0000
2.4990 0.0000 0.0000
0.0000 0.0000 0.0000
0.0000 0.0000 1.8311
```

Calculated values
The value obtained for the formation energy from raw total energies is 1555 meV per atom. Its symmetry is P4/mmm (123). Its energy above the most stable polymorph in this dataset is 1102 meV/atom. The energy comes out at -20.10 eV per cell.

# 18
Pm2TaN3 | PBE-GGA | optimized geometry

Cell and atoms, written as POSCAR:
```
Pm2TaN3
1.0
5.5402 0.0000 0.4149
2.7701 5.5504 0.2074
0.0189 0.0000 12.2876
Pm Ta N
8 4 12
Cartesian
4.3257 2.2125 4.7454
1.2240 2.2125 1.8133
4.0035 3.3379 8.1646
7.1052 3.3379 11.0967
4.0101 4.2768 1.2587
7.0798 4.2768 5.7149
4.3191 1.2736 11.6513
1.2495 1.2736 7.1950
3.9026 0.0406 2.3767
1.6471 0.0406 4.1820
4.4267 5.5098 10.5333
6.6821 5.5098 8.7279
5.5450 3.9766 3.4868
2.7843 1.5739 9.4232
3.8320 1.9212 1.6979
1.7177 1.9212 4.8608
4.4973 3.6293 11.2120
6.6116 3.6293 8.0492
4.2901 1.1225 6.9559
1.2785 1.1225 11.8905
4.0392 4.4280 5.9541
7.0507 4.4280 1.0195
5.5450 0.1163 3.4868
2.7843 5.4342 9.4232
```

Calculated values
The value obtained for the formation energy from raw total energies is -1298 meV per atom. Its symmetry is C2/c (15). Its energy above the most stable polymorph in this dataset is 0 meV/atom. The energy comes out at -216.47 eV per cell.

# 19
BaMg | PBE-GGA | optimized geometry

Cell and atoms, written as POSCAR:
```
BaMg
1.0
5.9449 -0.0222 -0.0156
2.9962 5.1347 -0.0156
2.9962 1.7132 4.8405
Mg Ba
2 2
Cartesian
1.4958 0.8553 0.6026
10.4415 5.9705 4.2066
4.4774 2.5602 1.8038
7.4599 4.2656 3.0054
```

Calculated values
The energy of formation is 11 meV/atom. Its symmetry is R-3m (166). The energy comes out at -6.99 eV per cell.

# 20
LaPmHg4 | PBE-GGA | optimized geometry

Cell and atoms, written as POSCAR:
```
LaPmHg4
1.0
3.6168 -0.0057 0.0083
0.0072 5.0427 -0.0056
-0.0169 0.0120 8.6924
La Pm Hg
1 1 4
Cartesian
0.8962 2.5180 8.6754
0.9069 5.0333 4.3263
2.7216 5.0268 1.4584
2.7116 5.0351 7.2020
2.7112 2.5113 5.7658
2.7131 2.5073 2.9026
```

Calculated values
The energy of formation is -452 meV/atom. Its symmetry is Pmmm (47). Its energy above the most stable polymorph in this dataset is 5 meV/atom. The energy comes out at -13.60 eV per cell.